[1]
## Dy4ErSi4 (PBE)

Data for a relaxed structure of Dy4ErSi4.

Calculated values
VASP energy	-98.02	eV/cell
V	25.451	Å³/atom

Cell: 5.779 8.904 8.904 Å, 90.00 90.00 90.00°
Positions (direct):
Dy 0.373 0.324 0.910
Dy 0.373 0.676 0.090
Dy 0.873 0.590 0.824
Dy 0.627 0.910 0.676
Dy 0.873 0.410 0.176
Dy 0.627 0.090 0.324
Dy 0.127 0.824 0.410
Dy 0.127 0.176 0.590
Si 0.868 0.731 0.136
Si 0.632 0.231 0.636
Si 0.132 0.136 0.269
Si 0.132 0.864 0.731
Si 0.868 0.269 0.864
Si 0.632 0.769 0.364
Si 0.368 0.636 0.769
Si 0.368 0.364 0.231
Er 0.500 0.500 0.500
Er 0.000 0.000 0.000


[2]
## DyEr2Si (PBE)

Data for a relaxed structure of DyEr2Si.

Calculated values
VASP energy	-19.05	eV/cell
V	28.831	Å³/atom

Cell: 3.514 3.514 10.973 Å, 80.79 80.79 60.00°
Positions (direct):
Er 0.894 0.894 0.318
Er 0.106 0.106 0.682
Si 0.500 0.500 0.500
Dy 0.000 0.000 0.000


[3]
## DyEr2Si6 (PBE)

Data for a relaxed structure of DyEr2Si6.

Calculated values
VASP energy	-50.82	eV/cell
V	18.816	Å³/atom

Cell: 3.904 7.078 7.078 Å, 120.00 90.00 90.00°
Positions (direct):
Dy 0.000 0.000 0.000
Si 0.500 0.666 0.666
Si 0.500 0.334 0.334
Si 0.500 0.666 0.000
Si 0.500 0.334 0.000
Si 0.500 0.000 0.334
Si 0.500 0.000 0.666
Er 0.000 0.333 0.667
Er 0.000 0.667 0.333


[4]
## Dy2Er3Si4 (PBE)

Data for a relaxed structure of Dy2Er3Si4.

Calculated values
VASP energy	-102.84	eV/cell
V	22.710	Å³/atom

Cell: 7.652 7.344 7.601 Å, 73.13 90.00 90.00°
Positions (direct):
Si 0.379 0.376 0.511
Si 0.030 0.626 0.080
Si 0.470 0.126 0.080
Si 0.879 0.124 0.489
Si 0.621 0.624 0.489
Si 0.970 0.374 0.920
Si 0.121 0.876 0.511
Si 0.530 0.874 0.920
Er 0.000 0.500 0.500
Er 0.319 0.748 0.244
Er 0.181 0.248 0.244
Er 0.819 0.752 0.756
Er 0.500 0.000 0.500
Er 0.681 0.252 0.756
Dy 0.180 0.084 0.802
Dy 0.820 0.916 0.198
Dy 0.680 0.416 0.198
Dy 0.320 0.584 0.802


no.,density of states at the Fermi level (states/eV/f.u.),raw formation energy (meV/atom)
1,8.94,-483
2,4.99,25
3,5.45,-506
4,7.89,-759